Version 1
Computed, not measured: a relaxed structure of K2Pd2O at the PBE level of DFT.

The structure in POSCAR format:
```
K2Pd2O
1.0
6.420 0.000 0.000
0.000 6.420 0.000
0.000 0.000 5.713
K O Pd
4 2 4
Direct
0.340 0.840 0.000 K
0.160 0.340 0.000 K
0.660 0.160 0.000 K
0.840 0.660 0.000 K
0.500 0.500 0.000 O
0.000 0.000 0.000 O
0.845 0.345 0.500 Pd
0.155 0.655 0.500 Pd
0.345 0.155 0.500 Pd
0.655 0.845 0.500 Pd
```

Output
- SG: P4/mbm (127)
- Magnetization: 0.00 μB per formula unit

Version 2
Computed, not measured: a relaxed structure of K2Pd2O at the PBE level of DFT.

The structure in POSCAR format:
```
K2Pd2O
1.0
3.592 0.000 0.000
0.000 3.592 0.000
1.796 1.796 9.233
K Pd O
2 2 1
Direct
0.418 0.418 0.164 K
0.582 0.582 0.836 K
0.750 0.250 0.500 Pd
0.250 0.750 0.500 Pd
0.000 0.000 0.000 O
```

Output
- SG: I4/mmm (139)
- Magnetization: 0.58 μB per formula unit

Stability ranking, top and bottom: version 2 is the most stable and version 1 is the least stable.

Version 1
Computed, not measured: a relaxed structure of K3PdO3 at the PBE level of DFT.

The structure in POSCAR format:
```
K3PdO3
1.0
-2.119 3.144 4.058
-6.994 0.197 -3.804
1.508 -5.781 5.266
O Pd K
6 2 6
Direct
0.250 0.708 0.594 O
0.750 0.114 0.708 O
0.750 0.292 0.406 O
0.250 0.886 0.292 O
0.750 0.594 0.886 O
0.250 0.406 0.114 O
0.750 0.333 0.667 Pd
0.250 0.667 0.333 Pd
0.750 0.735 0.634 K
0.250 0.101 0.735 K
0.750 0.366 0.101 K
0.250 0.634 0.899 K
0.750 0.899 0.265 K
0.250 0.265 0.366 K
```

Output
- SG: P6_3/m (176)
- Magnetization: 1.03 μB per formula unit

Version 2
Computed, not measured: a relaxed structure of K3PdO3 at the PBE level of DFT.

The structure in POSCAR format:
```
K3PdO3
1.0
5.973 0.553 -2.413
-2.258 3.843 -1.607
-0.325 0.553 6.433
K O Pd
3 3 1
Direct
0.493 0.475 0.493 K
0.000 0.982 0.507 K
0.507 0.982 0.000 K
0.309 0.857 0.309 O
0.000 0.549 0.691 O
0.691 0.549 0.000 O
0.000 0.631 0.000 Pd
```

Output
- SG: R3m (160)
- Magnetization: 1.02 μB per formula unit

Stability ranking, top and bottom: version 1 is the most stable and version 2 is the least stable.

Version 1
Computed, not measured: a relaxed structure of K3Pt2O4 at the PBE level of DFT.

The structure in POSCAR format:
```
K3Pt2O4
1.0
-5.083 2.391 0.006
0.249 -4.720 -3.036
-2.950 -6.294 9.544
O K Pt
8 6 4
Direct
0.711 0.873 0.384 O
0.127 0.289 0.116 O
0.289 0.127 0.616 O
0.711 0.873 0.116 O
0.127 0.289 0.384 O
0.873 0.711 0.616 O
0.873 0.711 0.884 O
0.289 0.127 0.884 O
0.649 0.351 0.432 K
0.649 0.351 0.068 K
0.351 0.649 0.932 K
0.289 0.711 0.250 K
0.351 0.649 0.568 K
0.711 0.289 0.750 K
0.078 0.922 0.750 Pt
0.000 0.000 0.500 Pt
0.000 0.000 0.000 Pt
0.922 0.078 0.250 Pt
```

Output
- SG: Cmcm (63)
- Magnetization: 0.84 μB per formula unit

Version 2
Computed, not measured: a relaxed structure of K3Pt2O4 at the PBE level of DFT.

The structure in POSCAR format:
```
K3Pt2O4
1.0
0.385 -0.473 4.269
4.457 -6.280 1.081
7.619 0.315 1.526
Pt O K
2 4 3
Direct
0.000 0.162 0.838 Pt
0.000 0.838 0.162 Pt
0.866 0.880 0.387 O
0.866 0.387 0.880 O
0.134 0.120 0.613 O
0.134 0.613 0.120 O
0.500 0.500 0.500 K
0.291 0.209 0.209 K
0.709 0.791 0.791 K
```

Output
- SG: Immm (71)
- Magnetization: 1.01 μB per formula unit

Stability ranking, top and bottom: version 1 is the most stable and version 2 is the least stable.